Material: LiZr2P
Method: DFT, GGA-PBE
State: relaxed

Unit cell a=3.4655 b=3.4655 c=5.8645 alpha=90.00 beta=90.00 gamma=90.00
With the nearest neighbours (Å) after each atom.
Sites, in units of the cell vectors:
1 Li 0.0000 0.0000 0.0000  8 Zr 2.88, 2 P 2.93
2 Zr 0.5000 0.5000 0.2577  4 P 2.83, 2 Zr 2.84-3.02, 4 Li 2.88
3 Zr 0.5000 0.5000 0.7423  4 P 2.83, 2 Zr 2.84-3.02, 4 Li 2.88
4 P 0.0000 0.0000 0.5000  8 Zr 2.83, 2 Li 2.93

Calculated values
The energy of formation is -0.48 eV/atom. As for the space group: P4/mmm, No. 123.

Material: TcAsN2F
Method: DFT, GGA-PBE
State: relaxed

Unit cell a=3.9095 b=3.9095 c=4.1276 alpha=90.00 beta=90.00 gamma=90.00
With the nearest neighbours (Å) after each atom.
Sites, in units of the cell vectors:
1 Tc 0.0000 0.0000 0.0000  4 N 1.95, 2 F 2.06
2 As 0.5000 0.5000 0.5000  4 F 2.76, 8 N 2.84
3 N 0.0000 0.5000 0.0000  2 Tc 1.95
4 N 0.5000 0.0000 0.0000  2 Tc 1.95
5 F 0.0000 0.0000 0.5000  2 Tc 2.06

Calculated values
As for the energy relative to the elements, uncorrected: 0.43 eV/atom. As for the space group: P4/mmm, No. 123.

Material: AlTl2Pd8
Method: DFT, GGA-PBE
State: relaxed

Unit cell a=7.5420 b=7.5420 c=6.1397 alpha=104.04 beta=104.04 gamma=32.70
With the nearest neighbours (Å) after each atom.
Sites, in units of the cell vectors:
1 Al 0.0000 0.0000 0.0000  8 Pd 2.57-2.76
2 Tl 0.2849 0.2849 0.3378  10 Pd 2.76-3.07
3 Tl 0.7151 0.7151 0.6622  10 Pd 2.76-3.07
4 Pd 0.0871 0.0871 0.4364  1 Al 2.66, 6 Pd 2.79-2.86, 2 Tl 2.93
5 Pd 0.1644 0.1644 0.9109  1 Al 2.57, 3 Tl 2.76-2.82, 5 Pd 2.78-2.86
6 Pd 0.3546 0.3546 0.8104  7 Pd 2.72-2.97, 3 Tl 2.82-2.91, 2 Al 3.01
7 Pd 0.4667 0.4667 0.2576  7 Pd 2.72-2.89, 2 Al 2.76, 1 Tl 2.80
8 Pd 0.5333 0.5333 0.7424  7 Pd 2.72-2.89, 2 Al 2.76, 1 Tl 2.80
9 Pd 0.6454 0.6454 0.1896  7 Pd 2.72-2.97, 3 Tl 2.82-2.91, 2 Al 3.01
10 Pd 0.8356 0.8356 0.0891  1 Al 2.57, 3 Tl 2.76-2.82, 5 Pd 2.78-2.86
11 Pd 0.9129 0.9129 0.5636  1 Al 2.66, 6 Pd 2.79-2.86, 2 Tl 2.93

Calculated values
The energy of formation is -0.31 eV/atom. As for the space group: C2/m, No. 12.

Material: La2PuSn3Rh4
Method: DFT, GGA-PBE
State: relaxed

Unit cell a=4.5268 b=4.5268 c=11.0956 alpha=90.00 beta=90.00 gamma=90.00
With the nearest neighbours (Å) after each atom.
Sites, in units of the cell vectors:
1 La 0.0000 0.5000 0.2360  6 Sn 3.43-3.70, 8 Rh 3.46-3.49, 2 Pu 3.70
2 La 0.5000 0.0000 0.7640  6 Sn 3.43-3.70, 8 Rh 3.46-3.49, 2 Pu 3.70
3 Pu 0.0000 0.0000 0.5000  4 Rh 2.74
4 Sn 0.0000 0.5000 0.8742  5 Rh 2.61-2.66
5 Sn 0.5000 0.0000 0.1258  5 Rh 2.61-2.66
6 Sn 0.5000 0.5000 0.5000  4 Rh 2.74
7 Rh 0.0000 0.0000 0.0000  4 Sn 2.66
8 Rh 0.0000 0.5000 0.6385  3 Sn 2.61-2.74, 2 Pu 2.74
9 Rh 0.5000 0.0000 0.3615  3 Sn 2.61-2.74, 2 Pu 2.74
10 Rh 0.5000 0.5000 0.0000  4 Sn 2.66

Calculated values
The energy of formation is -0.72 eV/atom. As for the space group: P-4m2, No. 115.

Material: MnZnSb2
Method: DFT, GGA-PBE
State: relaxed

Unit cell a=7.7101 b=7.4404 c=3.1319 alpha=90.00 beta=104.27 gamma=90.00
With the nearest neighbours (Å) after each atom.
Sites, in units of the cell vectors:
1 Mn 0.0000 0.0000 0.0000  4 Sb 2.85, 2 Mn 3.13
2 Mn 0.5000 0.5000 0.0000  4 Sb 2.85, 2 Mn 3.13
3 Zn 0.0000 0.5000 0.0000  4 Sb 2.85, 2 Zn 3.13
4 Zn 0.5000 0.0000 0.0000  4 Sb 2.85, 2 Zn 3.13
5 Sb 0.2500 0.2500 0.5000  2 Mn 2.85, 2 Zn 2.85, 2 Sb 3.13
6 Sb 0.2500 0.7500 0.5000  2 Mn 2.85, 2 Zn 2.85, 2 Sb 3.13
7 Sb 0.7500 0.2500 0.5000  2 Mn 2.85, 2 Zn 2.85, 2 Sb 3.13
8 Sb 0.7500 0.7500 0.5000  2 Zn 2.85, 2 Mn 2.85, 2 Sb 3.13

Calculated values
As for the energy relative to the elements, uncorrected: 0.26 eV/atom. As for the space group: C2/m, No. 12.

Material: KLa2Pb
Method: DFT, GGA-PBE
State: relaxed

Unit cell a=3.9849 b=6.1418 c=12.6825 alpha=90.00 beta=90.00 gamma=90.00
With the nearest neighbours (Å) after each atom.
Sites, in units of the cell vectors:
1 K 0.0000 0.0000 0.0000  4 Pb 3.66, 2 K 3.98, 4 La 4.08
2 K 0.5000 0.5000 0.5000  4 Pb 3.66, 2 K 3.98, 4 La 4.08
3 La 0.0000 0.5000 0.2120  2 Pb 3.35
4 La 0.0000 0.5000 0.7880  2 Pb 3.35
5 La 0.5000 0.0000 0.2880  2 Pb 3.35
6 La 0.5000 0.0000 0.7120  2 Pb 3.35
7 Pb 0.0000 0.0000 0.5000  4 La 3.35, 4 K 3.66
8 Pb 0.5000 0.5000 0.0000  4 La 3.35, 4 K 3.66

Calculated values
The energy of formation is -0.03 eV/atom. As for the space group: Immm, No. 71.

Material: LiPaTlAg
Method: DFT, GGA-PBE
State: relaxed

Unit cell a=7.1561 b=7.1561 c=7.1561 alpha=90.00 beta=90.00 gamma=90.00
With the nearest neighbours (Å) after each atom.
Sites, in units of the cell vectors:
1 Li 0.0000 0.0000 0.0000  4 Tl 3.10, 4 Ag 3.10
2 Li 0.0000 0.5000 0.5000  4 Tl 3.10, 4 Ag 3.10
3 Li 0.5000 0.0000 0.5000  4 Tl 3.10, 4 Ag 3.10
4 Li 0.5000 0.5000 0.0000  4 Tl 3.10, 4 Ag 3.10
5 Pa 0.0000 0.0000 0.5000  4 Tl 3.10, 4 Ag 3.10
6 Pa 0.0000 0.5000 0.0000  4 Tl 3.10, 4 Ag 3.10
7 Pa 0.5000 0.0000 0.0000  4 Tl 3.10, 4 Ag 3.10
8 Pa 0.5000 0.5000 0.5000  4 Tl 3.10, 4 Ag 3.10
9 Tl 0.2500 0.2500 0.7500  4 Li 3.10, 4 Pa 3.10
10 Tl 0.2500 0.7500 0.2500  4 Li 3.10, 4 Pa 3.10
11 Tl 0.7500 0.2500 0.2500  4 Li 3.10, 4 Pa 3.10
12 Tl 0.7500 0.7500 0.7500  4 Li 3.10, 4 Pa 3.10
13 Ag 0.2500 0.2500 0.2500  4 Li 3.10, 4 Pa 3.10
14 Ag 0.2500 0.7500 0.7500  4 Li 3.10, 4 Pa 3.10
15 Ag 0.7500 0.2500 0.7500  4 Li 3.10, 4 Pa 3.10
16 Ag 0.7500 0.7500 0.2500  4 Li 3.10, 4 Pa 3.10

Calculated values
The energy of formation is 0.16 eV/atom. As for the space group: F-43m, No. 216.

Material: Ca4AgP2
Method: DFT, GGA-PBE
State: relaxed

Unit cell a=8.6302 b=8.6302 c=8.6302 alpha=119.91 beta=119.91 gamma=90.16
With the nearest neighbours (Å) after each atom.
Sites, in units of the cell vectors:
1 Ca 0.2674 0.3027 0.5353  3 P 2.85-2.86, 1 Ag 3.01
2 Ca 0.2674 0.7321 0.9647  3 P 2.85-2.86, 1 Ag 3.01
3 Ca 0.2679 0.7326 0.5353  3 P 2.85-2.86, 1 Ag 3.01
4 Ca 0.3027 0.2674 0.0353  3 P 2.85-2.86, 1 Ag 3.01
5 Ca 0.6973 0.7326 0.9647  3 P 2.85-2.86, 1 Ag 3.01
6 Ca 0.7321 0.2674 0.4647  3 P 2.85-2.86, 1 Ag 3.01
7 Ca 0.7326 0.2679 0.0353  3 P 2.85-2.86, 1 Ag 3.01
8 Ca 0.7326 0.6973 0.4647  3 P 2.85-2.86, 1 Ag 3.01
9 Ag 0.1250 0.8750 0.2500  4 Ca 3.01
10 Ag 0.8750 0.1250 0.7500  4 Ca 3.01
11 P 0.0000 0.5000 0.5000  6 Ca 2.85-2.86
12 P 0.5000 0.0000 0.0000  6 Ca 2.85-2.86
13 P 0.5000 0.5000 0.0000  6 Ca 2.85-2.86
14 P 0.5000 0.5000 0.5000  6 Ca 2.85-2.86

Calculated values
The energy of formation is -0.74 eV/atom. As for the space group: I4_1/amd, No. 141.

Material: Cs2AgBr3F
Method: DFT, GGA-PBE
State: relaxed

Unit cell a=5.1473 b=5.7595 c=16.9630 alpha=90.00 beta=90.00 gamma=90.00
With the nearest neighbours (Å) after each atom.
Sites, in units of the cell vectors:
1 Cs 0.0000 0.0000 0.1235  2 F 3.32, 2 Br 3.56
2 Cs 0.0000 0.0000 0.8765  2 F 3.32, 2 Br 3.56
3 Cs 0.5000 0.5000 0.3765  2 F 3.32, 2 Br 3.56
4 Cs 0.5000 0.5000 0.6235  2 F 3.32, 2 Br 3.56
5 Ag 0.0000 0.0000 0.5000  4 Br 2.57-2.60, 2 F 2.88
6 Ag 0.5000 0.5000 0.0000  4 Br 2.57-2.60, 2 F 2.88
7 Br 0.0000 0.0000 0.3468  1 Ag 2.60
8 Br 0.0000 0.0000 0.6532  1 Ag 2.60
9 Br 0.0000 0.5000 0.0000  2 Ag 2.57
10 Br 0.5000 0.0000 0.5000  2 Ag 2.57
11 Br 0.5000 0.5000 0.1532  1 Ag 2.60
12 Br 0.5000 0.5000 0.8468  1 Ag 2.60
13 F 0.0000 0.5000 0.5000  2 Ag 2.88
14 F 0.5000 0.0000 0.0000  2 Ag 2.88

Calculated values
As for the energy relative to the elements, uncorrected: -1.35 eV/atom. As for the space group: Immm, No. 71.

Material: ZnFeHgGe2
Method: DFT, GGA-PBE
State: relaxed

Unit cell a=4.5079 b=4.5079 c=4.8788 alpha=90.00 beta=90.00 gamma=90.00
With the nearest neighbours (Å) after each atom.
Sites, in units of the cell vectors:
1 Zn 0.0000 0.0000 0.0000  2 Fe 2.44
2 Fe 0.0000 0.0000 0.5000  4 Ge 2.25, 2 Zn 2.44
3 Hg 0.5000 0.5000 0.0000  4 Zn 3.19, 8 Ge 3.32
4 Ge 0.0000 0.5000 0.5000  2 Fe 2.25
5 Ge 0.5000 0.0000 0.5000  2 Fe 2.25

Calculated values
The energy of formation is 0.12 eV/atom. As for the space group: P4/mmm, No. 123.

Material: RbNi2Hg
Method: DFT, GGA-PBE
State: relaxed

Unit cell a=4.8685 b=4.8685 c=18.1883 alpha=90.00 beta=90.00 gamma=90.00
With the nearest neighbours (Å) after each atom.
Sites, in units of the cell vectors:
1 Rb 0.0000 0.2500 0.3750  4 Hg 3.44, 8 Ni 3.55
2 Rb 0.0000 0.7500 0.6250  4 Hg 3.44, 8 Ni 3.55
3 Rb 0.5000 0.2500 0.1250  4 Hg 3.44, 8 Ni 3.55
4 Rb 0.5000 0.7500 0.8750  4 Hg 3.44, 8 Ni 3.55
5 Ni 0.0000 0.0000 0.0000  2 Ni 2.43, 2 Hg 2.58
6 Ni 0.0000 0.5000 0.0000  2 Ni 2.43, 2 Hg 2.58
7 Ni 0.2500 0.2500 0.7500  2 Ni 2.43, 2 Hg 2.58
8 Ni 0.2500 0.7500 0.2500  2 Ni 2.43, 2 Hg 2.58
9 Ni 0.5000 0.0000 0.5000  2 Ni 2.43, 2 Hg 2.58
10 Ni 0.5000 0.5000 0.5000  2 Ni 2.43, 2 Hg 2.58
11 Ni 0.7500 0.2500 0.7500  2 Ni 2.43, 2 Hg 2.58
12 Ni 0.7500 0.7500 0.2500  2 Ni 2.43, 2 Hg 2.58
13 Hg 0.0000 0.2500 0.8750  4 Ni 2.58
14 Hg 0.0000 0.7500 0.1250  4 Ni 2.58
15 Hg 0.5000 0.2500 0.6250  4 Ni 2.58
16 Hg 0.5000 0.7500 0.3750  4 Ni 2.58

Calculated values
The energy of formation is 0.48 eV/atom. As for the space group: I4_1/amd, No. 141.

Material: BeZn4Br
Method: DFT, GGA-PBE
State: relaxed

Unit cell a=5.3015 b=5.3015 c=5.3015 alpha=60.00 beta=60.00 gamma=60.00
With the nearest neighbours (Å) after each atom.
Sites, in units of the cell vectors:
1 Be 0.0000 0.0000 0.0000  12 Zn 3.10, 4 Br 3.25
2 Zn 0.1191 0.6270 0.6270  6 Zn 2.61-2.69
3 Zn 0.6270 0.1191 0.6270  6 Zn 2.61-2.69
4 Zn 0.6270 0.6270 0.1191  6 Zn 2.61-2.69
5 Zn 0.6270 0.6270 0.6270  6 Zn 2.61-2.69
6 Br 0.2500 0.2500 0.2500  12 Zn 3.11, 4 Be 3.25

Calculated values
As for the energy relative to the elements, uncorrected: 0.45 eV/atom. As for the space group: F-43m, No. 216.

Listing mass density for the structures above in their given order: 5.20; 5.79; 11.71; 9.42; 6.94; 5.61; 9.97; 2.41; 4.18; 7.82; 6.22; 5.52 g/cm3.
Listing DOS(E_F) for the structures above in their given order: 1.85; 3.30; 5.56; 10.35; 3.62; 11.89; 20.75; 4.59; 2.65; 1.19; 14.79; 2.27 states/eV per cell.
Listing total magnetization for the structures above in their given order: 0.00; 0.00; 0.00; 4.85; 7.63; 0.00; 2.39; 2.07; 0.00; 0.00; 3.51; 0.00 Bohr magnetons per cell.